Computed, not measured: crystalline U6Al43Cr4 at its relaxed geometry at the PBEsol level of DFT.

Unit cell a=10.8890 b=10.8890 c=16.8439 alpha=90.00 beta=90.00 gamma=120.00
Closest atoms and distances in Å follow each position.
Space group P6_3/mcm (No. 193)
Unique sites:
U1 0.0000 0.4864 0.0738 [12 per cell]  1 U 2.50
Al1 0.0000 0.1476 0.7500 [6 per cell]  2 Cr 2.50, 6 Al 2.78
Al2 0.0000 0.1576 0.1152 [12 per cell]  2 Cr 2.55-2.59, 7 Al 2.64-2.82
Al3 0.0000 0.2479 0.5302 [12 per cell]  9 Al 2.64-2.88, 1 Cr 2.75
Al4 0.1369 0.5447 0.2500 [12 per cell]  7 Al 2.58-2.78, 1 Cr 2.64
Al5 0.1644 0.3935 0.6629 [24 per cell]  1 Cr 2.62, 7 Al 2.66-2.91
Al6 0.2448 0.4897 0.0000 [12 per cell]  8 Al 2.70-2.91, 2 U 2.93
Al7 0.3333 0.6667 0.1281 [8 per cell]  9 Al 2.66-2.78
Cr1 0.0000 0.0000 0.0000 [2 per cell]  12 Al 2.59-2.75
Cr2 0.0000 0.2645 0.2500 [6 per cell]  10 Al 2.50-2.64

Total DFT energy (no corrections), eV/atom: -5.593
Total moment, μB/cell: 0.00
V, Å³/f.u.: 864.8
Density of states at the Fermi level, states/eV/f.u.: 41.33

***

Computed, not measured: crystalline MoPtRh2 at its relaxed geometry at the PBEsol level of DFT.

Unit cell a=3.8298 b=3.8298 c=7.7195 alpha=90.00 beta=90.00 gamma=90.00
Closest atoms and distances in Å follow each position.
Space group I-4m2 (No. 119)
Unique sites:
Mo1 0.0000 0.0000 0.0000 [2 per cell]  8 Rh 2.71-2.72, 4 Pt 2.72
Pt1 0.0000 0.5000 0.7500 [2 per cell]  8 Rh 2.71-2.72, 4 Mo 2.72
Rh1 0.0000 0.0000 0.5000 [2 per cell]  4 Mo 2.71, 4 Rh 2.72, 4 Pt 2.72
Rh2 0.0000 0.5000 0.2500 [2 per cell]  4 Pt 2.71, 4 Mo 2.72, 4 Rh 2.72

Total DFT energy (no corrections), eV/atom: -8.987
Energy above the lowest structure with this stoichiometry, kcal/mol of atoms: 0.167
Total moment, μB/cell: 0.00
V, Å³/f.u.: 56.6
Density of states at the Fermi level, states/eV/f.u.: 4.86

***

Computed, not measured: crystalline CsSc2I at its relaxed geometry at the PBEsol level of DFT.

Unit cell a=3.5614 b=3.5614 c=33.5335 alpha=90.00 beta=90.00 gamma=120.00
Closest atoms and distances in Å follow each position.
Space group R-3m (No. 166, hexagonal axes)
Unique sites:
Cs1 0.0000 0.0000 0.0000 [3 per cell]  2 Sc 3.36, 6 Cs 3.56
Sc1 0.0000 0.0000 0.1001 [6 per cell]  3 I 3.04, 1 Cs 3.36
I1 0.0000 0.0000 0.5000 [3 per cell]  6 Sc 3.04

Total DFT energy (no corrections), eV/atom: -3.834
ΔE_f (raw), eV per atom: 0.15
Total moment, μB/cell: 3.84
V, Å³/f.u.: 122.8
Density of states at the Fermi level, states/eV/f.u.: 5.47

***

- Which value of total moment does entry 2 give?
  0.00 μB/cell